A plane-wave DFT calculation with PBE-GGA was carried out for a geometry-optimized Y2AgHg2 structure.

Cell and atoms, written as POSCAR:
```
Y2AgHg2
1.0
-1.357 0.432 -4.423
-4.256 -4.045 -1.531
-8.429 5.348 0.666
Y Ag Hg
4 2 4
Cartesian
-7.502 2.560 -2.331
-2.367 -0.359 -1.750
-6.540 -0.825 -2.957
-11.675 2.094 -3.538
-4.272 1.624 -3.413
-9.770 0.111 -1.875
-5.012 1.088 -0.797
-9.030 0.647 -4.490
-4.441 -2.563 -1.329
-9.601 4.298 -3.958
```

Properties
The calculation puts the density of states at the Fermi level at 0.87 states/eV/atom. The calculation puts the polymorph energy (0 for the lowest one) at 2 meV/atom. The calculation puts the magnetization at 0.000 μB per atom. For the formation energy, the calculation gives -1.8 eV per formula unit. The space group is C2/m.

=====

A plane-wave DFT calculation with PBE-GGA was carried out for a geometry-optimized Y4Ag2Hg structure.

Cell and atoms, written as POSCAR:
```
Y4Ag2Hg
1.0
-4.138 0.587 -3.007
-2.836 -4.095 -1.304
-7.040 -0.041 5.271
Ag Hg Y
2 1 4
Cartesian
-10.528 -2.657 0.745
-3.486 -0.891 0.215
0.000 0.000 0.000
-5.227 -0.474 2.693
-8.787 -3.074 -1.733
-8.703 -1.368 2.893
-5.311 -2.180 -1.933
```

Properties
The calculation puts the density of states at the Fermi level at 0.96 states/eV/atom. The calculation puts the magnetization at 0.000 μB per atom. For the formation energy, the calculation gives -1.6 eV per formula unit. The space group is R-3m.

=====

A plane-wave DFT calculation with PBE-GGA was carried out for a geometry-optimized Y5Ag4Hg structure.

Cell and atoms, written as POSCAR:
```
Y5Ag4Hg
1.0
3.654 0.000 0.000
0.000 3.654 0.000
0.000 0.000 18.394
Y Ag Hg
5 4 1
Cartesian
1.827 1.827 12.858
1.827 1.827 5.537
1.827 1.827 9.197
1.827 1.827 16.499
1.827 1.827 1.895
0.000 0.000 7.374
0.000 0.000 14.673
0.000 0.000 3.722
0.000 0.000 11.020
0.000 0.000 0.000
```

Properties
The calculation puts the density of states at the Fermi level at 0.57 states/eV/atom. The calculation puts the magnetization at 0.000 μB per atom. For the formation energy, the calculation gives -3.7 eV per formula unit. The space group is P4/mmm.